Sr4AsSI2, relaxed, DFT PBE-GGA; VASP energy = -30.939 eV per cell; E_form (uncorrected) = -12.33 eV/f.u.
1.0
4.5230 0.0000 0.0000
0.0000 7.7833 0.1200
0.0000 -2.7345 7.7277
As Sr I S
1 4 2 1
Direct
0.0000 0.0000 0.0000
0.0000 0.2668 0.7986
0.5000 0.7648 0.7967
0.5000 0.2352 0.2033
0.0000 0.7332 0.2014
0.5000 0.0000 0.5000
0.0000 0.5000 0.5000
0.5000 0.5000 0.0000



Co2Pb, relaxed, DFT PBE-GGA; VASP energy = -33.032 eV per cell; formation energy from the elements = 45.2 kJ/mol of atoms
1.0
2.3137 -0.5980 4.9988
-2.8958 -4.0330 2.4593
2.4153 0.0235 -4.9865
Co Pb
4 2
Direct
0.8105 0.3105 0.1210
0.1895 0.6895 0.8790
0.6895 0.8105 0.5000
0.3105 0.1895 0.5000
0.2500 0.2500 0.0000
0.7500 0.7500 0.0000



HoAl10Rh2, relaxed, DFT PBE-GGA; VASP energy = -127.950 eV per cell; formation energy from the elements = -53.9 kJ/mol of atoms
1.0
-1.3121 -6.4621 1.7985
6.4204 -0.9899 -2.1247
3.0625 1.7296 8.4486
Al Rh Ho
20 4 2
Direct
0.1523 0.8477 0.6016
0.1424 0.4061 0.2500
0.4801 0.2244 0.2500
0.7792 0.7792 0.5000
0.8576 0.5939 0.7500
0.3778 0.6222 0.0514
0.7756 0.5199 0.2500
0.5939 0.8576 0.2500
0.8477 0.1523 0.3984
0.6222 0.3778 0.9486
0.4061 0.1424 0.7500
0.2208 0.2208 0.0000
0.7792 0.7792 0.0000
0.2244 0.4801 0.7500
0.6222 0.3778 0.5514
0.3778 0.6222 0.4486
0.2208 0.2208 0.5000
0.5199 0.7756 0.7500
0.1523 0.8477 0.8984
0.8477 0.1523 0.1016
0.5000 0.0000 0.0000
0.0000 0.5000 0.5000
0.5000 0.0000 0.5000
0.0000 0.5000 0.0000
0.8720 0.1280 0.7500
0.1280 0.8720 0.2500



CsNa2GaPd, relaxed, DFT PBE-GGA; VASP energy = -12.287 eV per cell; formation energy from the elements = -11.1 kJ/mol of atoms
1.0
-0.8084 -0.0797 5.6966
2.9096 -4.9525 0.3436
4.1982 2.5102 0.6309
Ga Pd Na Cs
1 1 2 1
Direct
0.0000 0.0000 0.5000
0.0000 0.0000 0.0000
0.0000 0.5000 0.0000
0.5000 0.0000 0.0000
0.5000 0.5000 0.5000



BaInAu, relaxed, DFT PBE-GGA; VASP energy = -9.246 eV per cell; formation energy from the elements = -42.0 kJ/mol of atoms
1.0
-4.5393 -4.1738 2.2593
-2.3970 -5.5275 -2.6138
5.4294 3.4022 1.4413
Au Ba In
1 1 1
Direct
0.0306 0.0306 0.0000
0.3387 0.3387 0.0000
0.6307 0.6307 0.0000



GaPt3S, relaxed, DFT PBE-GGA; VASP energy = -20.867 eV per cell; energy relative to the lowest polymorph listed for this composition = 2.84 eV per formula unit; E_form (uncorrected) = 4.41 eV/f.u.
1.0
4.6471 0.0000 0.0000
0.0000 4.6471 0.0000
0.0000 0.0000 4.6471
S Ga Pt
1 1 3
Direct
0.5000 0.5000 0.5000
0.0000 0.0000 0.0000
0.0000 0.0000 0.5000
0.0000 0.5000 0.0000
0.5000 0.0000 0.0000



TiH, relaxed, DFT PBE-GGA; VASP energy = -71.676 eV per cell
1.0
3.3252 0.0000 0.0000
0.0000 3.5281 0.0000
0.0000 0.0000 9.8873
H Ti
6 6
Direct
0.0000 0.0095 0.3309
0.0000 0.0095 0.6691
0.5000 0.9905 0.1691
0.5000 0.5179 0.5000
0.5000 0.9905 0.8309
0.0000 0.4821 0.0000
0.5000 0.2602 0.6667
0.5000 0.2602 0.3333
0.0000 0.7398 0.1667
0.5000 0.2356 0.0000
0.0000 0.7398 0.8333
0.0000 0.7644 0.5000



K4Sb2O3, relaxed, DFT PBE-GGA; VASP energy = -76.679 eV per cell; E_form (uncorrected) = -10.83 eV/f.u.
1.0
-3.3692 2.0739 -4.9928
0.4592 -6.2472 1.1591
-11.9487 0.6693 8.3411
K Sb O
8 4 6
Direct
0.0000 0.0000 0.5023
0.6667 0.3333 0.0556
0.0000 0.0000 0.0023
0.0000 0.0000 0.7666
0.3333 0.6666 0.8947
0.0000 0.0000 0.2666
0.3333 0.6667 0.5556
0.6667 0.3334 0.3947
0.3333 0.6667 0.1399
0.3333 0.6666 0.3295
0.6667 0.3334 0.8295
0.6667 0.3333 0.6399
0.8220 0.1780 0.8899
0.8220 0.6440 0.8899
0.3560 0.1780 0.8899
0.1780 0.8220 0.3899
0.6440 0.8220 0.3899
0.1780 0.3560 0.3899



Ho2ZrAg, relaxed, DFT PBE-GGA; VASP energy = -21.068 eV per cell; formation energy from the elements = -12.4 kJ/mol of atoms; energy relative to the lowest polymorph listed for this composition = 0.00 eV per formula unit
1.0
-0.3145 -3.3828 0.4658
-0.3321 -0.4353 -3.3852
8.4900 -0.8883 -0.7187
Ho Ag Zr
2 1 1
Direct
0.0000 0.0000 0.7653
0.0000 0.0000 0.2347
0.5000 0.5000 0.0000
0.5000 0.5000 0.5000



BaNd2Au, relaxed, DFT PBE-GGA; VASP energy = -15.391 eV per cell; formation energy from the elements = -15.8 kJ/mol of atoms; energy relative to the lowest polymorph listed for this composition = 0.40 eV per formula unit
1.0
4.5887 0.0000 0.0000
2.2943 3.9739 0.0000
2.2943 1.3246 9.1220
Ba Nd Au
1 2 1
Direct
0.5000 0.5000 0.5000
0.2833 0.2833 0.1500
0.7167 0.7167 0.8500
0.0000 0.0000 0.0000



Ca2VSi4Pt3, relaxed, DFT PBE-GGA; VASP energy = -61.181 eV per cell; E_form (uncorrected) = -8.24 eV/f.u.
1.0
4.1456 0.0000 0.0000
0.0000 4.1456 0.0000
0.0000 0.0000 10.3070
Si Pt Ca V
4 3 2 1
Direct
0.0000 0.0000 0.0000
0.0000 0.5000 0.3667
0.5000 0.5000 0.0000
0.5000 0.0000 0.6333
0.0000 0.5000 0.1247
0.5000 0.0000 0.8753
0.0000 0.0000 0.5000
0.5000 0.0000 0.2498
0.0000 0.5000 0.7502
0.5000 0.5000 0.5000



TlCuCl3, relaxed, DFT PBE-GGA; VASP energy = -30.266 eV per cell; E_form (uncorrected) = -3.13 eV/f.u.
1.0
4.7950 0.0000 0.8671
0.0000 7.2368 0.0000
-1.2038 0.0000 6.8467
Cl Cu Tl
6 2 2
Direct
0.4999 0.7500 0.0181
0.9984 0.4935 0.2400
0.0016 0.9935 0.7600
0.5001 0.2500 0.9819
0.0016 0.5065 0.7600
0.9984 0.0065 0.2400
0.0000 0.7500 0.0125
0.0000 0.2500 0.9875
0.5033 0.7500 0.5876
0.4967 0.2500 0.4124



ReTeI2N, relaxed, DFT PBE-GGA; VASP energy = -18.159 eV per cell; energy relative to the lowest polymorph listed for this composition = 5.96 eV per formula unit; E_form (uncorrected) = 8.86 eV/f.u.
1.0
6.2860 0.0000 0.0000
0.0000 6.2860 0.0000
0.0000 0.0000 4.0092
I N Re Te
2 1 1 1
Direct
0.5000 0.0000 0.0000
0.0000 0.5000 0.0000
0.0000 0.0000 0.5000
0.5000 0.5000 0.5000
0.0000 0.0000 0.0000



NdGeIr2, relaxed, DFT PBE-GGA; VASP energy = -58.138 eV per cell; formation energy from the elements = -47.3 kJ/mol of atoms
1.0
4.0529 0.0000 0.0000
0.0000 4.0529 0.0000
0.0000 0.0000 9.7502
Ge Ir Nd
2 4 2
Direct
0.0000 0.5000 0.3532
0.5000 0.0000 0.6468
0.5000 0.5000 0.5000
0.0000 0.0000 0.5000
0.0000 0.5000 0.1050
0.5000 0.0000 0.8950
0.0000 0.5000 0.7967
0.5000 0.0000 0.2033



CrFe2Tc, relaxed, DFT PBE-GGA; VASP energy = -36.649 eV per cell; formation energy from the elements = 6.4 kJ/mol of atoms
1.0
-0.4249 -1.1937 -2.6600
-1.9480 -1.8838 1.1566
-4.2091 3.7360 -1.0042
Fe Cr Tc
2 1 1
Direct
0.0000 0.0000 0.0031
0.5000 0.5000 0.2339
0.5000 0.5000 0.7548
0.0000 0.0000 0.5082



PmZnGe2Rh, relaxed, DFT PBE-GGA; VASP energy = -25.939 eV per cell; formation energy from the elements = -64.2 kJ/mol of atoms
1.0
-3.0247 -2.5102 1.2268
2.1111 -0.8688 3.4269
-1.9628 5.8489 0.2182
Zn Pm Ge Rh
1 1 2 1
Direct
0.2500 0.7500 0.5000
0.0000 0.0000 0.0000
0.3843 0.3843 0.7685
0.6157 0.6157 0.2315
0.7500 0.2500 0.5000



TbTmCd4, relaxed, DFT PBE-GGA; VASP energy = -14.113 eV per cell; formation energy from the elements = -21.7 kJ/mol of atoms; energy relative to the lowest polymorph listed for this composition = 0.09 eV per formula unit
1.0
0.6945 -2.9723 1.6064
3.1320 -3.7175 -4.5294
4.1272 2.5481 6.6333
Cd Tm Tb
4 1 1
Direct
0.1594 0.5152 0.1660
0.6669 0.0057 0.6605
0.3331 0.9943 0.3395
0.8406 0.4848 0.8340
0.5000 0.5000 0.5000
0.0000 0.0000 0.0000



PaAsS6, relaxed, DFT PBE-GGA; VASP energy = -41.654 eV per cell; E_form (uncorrected) = -2.74 eV/f.u.
1.0
6.6571 -0.9041 -0.3944
-3.3159 5.8429 -0.3944
-0.9861 -1.4576 6.3734
S As Pa
6 1 1
Direct
0.1687 0.4569 0.2316
0.8480 0.8480 0.3621
0.4569 0.1687 0.2316
0.5431 0.8313 0.7684
0.1520 0.1520 0.6379
0.8313 0.5431 0.7684
0.5000 0.5000 0.5000
0.0000 0.0000 0.0000



CaZrBi2S, relaxed, DFT PBE-GGA; VASP energy = -24.463 eV per cell; E_form (uncorrected) = -2.02 eV/f.u.
1.0
-1.2890 0.0888 -5.6434
-5.1525 -2.3812 1.1394
-1.9518 4.4705 0.5162
Zr S Bi Ca
1 1 2 1
Direct
0.0000 0.0000 0.0000
0.0000 0.0000 0.5000
0.0000 0.5000 0.0000
0.5000 0.0000 0.0000
0.5000 0.5000 0.5000



KVTe2, relaxed, DFT PBE-GGA; VASP energy = -17.646 eV per cell; E_form (uncorrected) = -1.15 eV/f.u.
1.0
3.4453 0.0000 0.0000
0.0000 3.4453 0.0000
0.0000 0.0000 8.4628
Te V K
2 1 1
Direct
0.0000 0.0000 0.8110
0.0000 0.0000 0.1890
0.5000 0.5000 0.0000
0.5000 0.5000 0.5000